Entry from Alexandria: Sc3Ag after structural relaxation (GGA-PBEsol).

* total magnetic moment: 0.9 μB per formula unit
* E above lowest polymorph: 0.39 eV per formula unit
* DFT formation energy: -0.05 eV/atom
* energy: -5.83 eV per atom
* crystal system: tetragonal

```
data_Sc3Ag
_chemical_formula_sum 'Sc3 Ag1'
_space_group_name_H-M_alt 'P 4/m m m'
_space_group_IT_number 123
_space_group_name_Hall '-P 4 2'
_cell_length_a 4.581
_cell_length_b 4.581
_cell_length_c 3.987
_cell_angle_alpha 90.00
_cell_angle_beta 90.00
_cell_angle_gamma 90.00
loop_
_atom_site_label
_atom_site_type_symbol
_atom_site_fract_x
_atom_site_fract_y
_atom_site_fract_z
Sc1 Sc 0.000 0.000 0.000
Sc2 Sc 0.000 0.500 0.500
Ag1 Ag 0.500 0.500 0.000
```

=====

Entry from Alexandria: AuSeBr2 after structural relaxation (GGA-PBEsol).

* total magnetic moment: 0.0 μB per formula unit
* uncorrected formation energy: 0.27 eV per atom
* E above lowest polymorph: 0.86 eV per formula unit
* energy: -2.61 eV per atom
* crystal system: orthorhombic

```
data_AuSeBr2
_chemical_formula_sum 'Au2 Se2 Br4'
_space_group_name_H-M_alt 'C m m m'
_space_group_IT_number 65
_space_group_name_Hall '-C 2 2'
_cell_length_a 6.679
_cell_length_b 7.397
_cell_length_c 3.936
_cell_angle_alpha 90.00
_cell_angle_beta 90.00
_cell_angle_gamma 90.00
loop_
_atom_site_label
_atom_site_type_symbol
_atom_site_fract_x
_atom_site_fract_y
_atom_site_fract_z
Au1 Au 0.000 0.000 0.000
Se1 Se 0.000 0.500 0.000
Br1 Br 0.000 0.236 0.500
```

=====

Entry from Alexandria: TcTeRuN2 after structural relaxation (GGA-PBEsol).

* total magnetic moment: 0.0 μB per formula unit
* uncorrected formation energy: 0.94 eV per atom
* energy: -7.46 eV per atom
* crystal system: tetragonal

```
data_TcTeRuN2
_chemical_formula_sum 'Tc1 Te1 Ru1 N2'
_space_group_name_H-M_alt 'P 4/m m m'
_space_group_IT_number 123
_space_group_name_Hall '-P 4 2'
_cell_length_a 3.764
_cell_length_b 3.764
_cell_length_c 5.571
_cell_angle_alpha 90.00
_cell_angle_beta 90.00
_cell_angle_gamma 90.00
loop_
_atom_site_label
_atom_site_type_symbol
_atom_site_fract_x
_atom_site_fract_y
_atom_site_fract_z
Tc1 Tc 0.000 0.000 0.000
Te1 Te 0.000 0.000 0.500
Ru1 Ru 0.500 0.500 0.500
N1 N 0.000 0.500 0.000
```

=====

Entry from Alexandria: Rb3MnTc after structural relaxation (GGA-PBEsol).

* total magnetic moment: 8.2 μB per formula unit
* DFT formation energy: 1.99 eV/atom
* energy: -2.83 eV per atom
* crystal system: cubic

```
data_Rb3MnTc
_chemical_formula_sum 'Rb3 Mn1 Tc1'
_space_group_name_H-M_alt 'P m -3 m'
_space_group_IT_number 221
_space_group_name_Hall '-P 4 2 3'
_cell_length_a 6.520
_cell_length_b 6.520
_cell_length_c 6.520
_cell_angle_alpha 90.00
_cell_angle_beta 90.00
_cell_angle_gamma 90.00
loop_
_atom_site_label
_atom_site_type_symbol
_atom_site_fract_x
_atom_site_fract_y
_atom_site_fract_z
Rb1 Rb 0.000 0.000 0.500
Mn1 Mn 0.000 0.000 0.000
Tc1 Tc 0.500 0.500 0.500
```